## HfMnAgF2 (GGA+U)

Data for a relaxed structure of HfMnAgF2.

## Properties
Total magnetization (μB per cell): 4.7
Energy (eV/cell): -30.5

Unit cell a=4.0715 b=6.1681 c=4.0715 alpha=90.00 beta=90.00 gamma=90.00
Closest atoms and distances in Å follow each position.
Fractional coordinates of all 5 atoms:
1 Ag 0.5000 0.5000 0.5000  4 Mn 2.88
2 F 0.5000 0.0000 0.0000  2 Hf 2.04
3 F 0.0000 0.0000 0.5000  2 Hf 2.04
4 Hf 0.0000 0.0000 0.0000  4 F 2.04
5 Mn 0.0000 0.5000 0.0000  4 Ag 2.88, 2 Hf 3.08